(1)
{"formula": "Al2TcTe", "functional": "PBE-GGA", "state": "relaxed", "n_ef_per_ev_fu": 2.53, "rho_g_cm3": 6.34, "sg": "No. 10", "lattice_angstrom": [[-3.877, 1.370, -1.994], [-0.154, -2.847, -1.657], [-2.582, -2.341, 3.411]], "species": ["Tc", "Al", "Al", "Te"], "fractional_positions": [[0.500, 0.250, 0.250], [0.000, 0.041, 0.030], [0.000, 0.459, 0.470], [0.500, 0.750, 0.750]]}



(2)
{"formula": "Al2TcTe", "functional": "PBE-GGA", "state": "relaxed", "n_ef_per_ev_fu": 1.98, "rho_g_cm3": 6.03, "sg": "No. 99", "lattice_angstrom": [[-0.465, 2.551, 1.799], [-3.120, -0.426, -0.203], [0.193, -4.430, 6.331]], "species": ["Tc", "Al", "Al", "Te"], "fractional_positions": [[0.000, 0.000, 0.476], [0.000, 0.000, 0.057], [0.500, 0.500, 0.284], [0.500, 0.500, 0.682]]}



(3)
{"formula": "Al2TcTe", "functional": "PBE-GGA", "state": "relaxed", "n_ef_per_ev_fu": 2.60, "rho_g_cm3": 5.94, "sg": "No. 35", "lattice_angstrom": [[3.009, -0.023, 0.000], [-1.365, 2.681, 0.000], [0.000, 0.000, 9.732]], "species": ["Al", "Al", "Tc", "Te"], "fractional_positions": [[0.000, 0.000, 0.035], [0.500, 0.500, 0.274], [0.000, 0.000, 0.483], [0.500, 0.500, 0.708]]}



(4)
{"formula": "Al2TcTe", "functional": "PBE-GGA", "state": "relaxed", "n_ef_per_ev_fu": 1.29, "rho_g_cm3": 6.58, "sg": "No. 123", "lattice_angstrom": [[-2.093, 1.056, -3.866], [-3.560, -2.492, 1.247], [-1.404, 2.763, 1.515]], "species": ["Tc", "Al", "Al", "Te"], "fractional_positions": [[0.500, 0.000, 0.500], [0.000, 0.000, 0.000], [0.500, 0.500, 0.000], [0.000, 0.500, 0.500]]}



(5)
{"formula": "Al2TcTe", "functional": "PBE-GGA", "state": "relaxed", "n_ef_per_ev_fu": 2.23, "rho_g_cm3": 5.38, "sg": "No. 8", "lattice_angstrom": [[-2.567, 3.764, -1.274], [-3.426, 2.820, 1.641], [2.973, 5.026, 2.504]], "species": ["Al", "Al", "Tc", "Te"], "fractional_positions": [[0.798, 0.798, 0.674], [0.020, 0.020, 0.933], [0.529, 0.529, 0.619], [0.153, 0.153, 0.274]]}



(6)
{"formula": "Al2TcTe", "functional": "PBE-GGA", "state": "relaxed", "n_ef_per_ev_fu": 2.30, "rho_g_cm3": 6.69, "sg": "No. 65", "lattice_angstrom": [[-3.811, -0.479, 2.877], [2.094, -4.224, -0.894], [1.907, 0.397, 2.592]], "species": ["Tc", "Al", "Al", "Te"], "fractional_positions": [[0.500, 0.000, 0.500], [0.500, 0.500, 0.000], [0.000, 0.000, 0.000], [0.000, 0.500, 0.500]]}



Number 1: raw total energy -4.952 eV per atom, uncorrected formation energy 0.30 eV/atom, M_tot 0.00 μB/f.u.. Number 2: raw total energy -5.221 eV per atom, uncorrected formation energy 0.03 eV/atom, M_tot 0.00 μB/f.u.. Number 3: raw total energy -4.924 eV per atom, uncorrected formation energy 0.32 eV/atom, M_tot 0.00 μB/f.u.. Number 4: raw total energy -5.012 eV per atom, uncorrected formation energy 0.24 eV/atom, M_tot 0.00 μB/f.u.. Number 5: raw total energy -5.276 eV per atom, uncorrected formation energy -0.03 eV/atom, M_tot 0.00 μB/f.u.. Number 6: raw total energy -5.045 eV per atom, uncorrected formation energy 0.20 eV/atom, M_tot 0.00 μB/f.u..